Below is a relaxed structure of TiMnWO6, with properties calculated at the GGA+U level.

Summary:
Calculated total energy = -72.894 eV per formula unit
Theoretical density = 5.9 g/cm³

Cell lengths 5.1408, 5.1408, 9.3830 Å; angles 90.00, 90.00, 120.00 degrees
Last column: nearest neighbours and their distance in Å.
Space group P-31c (No. 163)
Asymmetric unit:
Ti: 0.3333 0.6667 0.2500 x2  6 O 1.98
Mn: 0.0000 0.0000 0.0000 x2  6 O 2.24
W: 0.3333 0.6667 0.7500 x2  6 O 1.95
O: 0.0038 0.3600 0.6369 x12  1 W 1.95, 1 Ti 1.98